Record 1
Here is HoThNi after structural relaxation from Alexandria. Energies are from PBE. Values from VASP.

Computed properties:
**Calculated formation energy**: -0.14 eV per atom
**D(E_F)**: 2.71 states/eV/f.u.

Structure (Quantum ESPRESSO input):
```
&SYSTEM
  ibrav = 0, nat = 3, ntyp = 3
/
ATOMIC_SPECIES
Ho 164.93 Ho.upf
Th 232.04 Th.upf
Ni 58.69 Ni.upf
CELL_PARAMETERS angstrom
1.856 1.072 6.515
-1.856 1.072 6.515
0.000 -2.143 6.515
ATOMIC_POSITIONS crystal
Ho 0.000 0.000 0.000
Th 0.183 0.183 0.183
Ni 0.425 0.425 0.425
```

Record 2
Here is Ho2ThNi2 after structural relaxation from Alexandria. Energies are from PBE. Values from VASP.

Computed properties:
**Calculated formation energy**: -0.36 eV per atom
**D(E_F)**: 4.53 states/eV/f.u.

Structure (Quantum ESPRESSO input):
```
&SYSTEM
  ibrav = 0, nat = 10, ntyp = 3
/
ATOMIC_SPECIES
Ho 164.93 Ho.upf
Th 232.04 Th.upf
Ni 58.69 Ni.upf
CELL_PARAMETERS angstrom
5.496 -2.976 0.000
5.496 2.976 0.000
-1.268 0.000 7.011
ATOMIC_POSITIONS crystal
Ho 0.050 0.265 0.155
Ho 0.265 0.050 0.655
Ho 0.735 0.950 0.345
Ho 0.950 0.735 0.845
Th 0.401 0.599 0.250
Th 0.599 0.401 0.750
Ni 0.209 0.471 0.487
Ni 0.471 0.209 0.987
Ni 0.529 0.791 0.013
Ni 0.791 0.529 0.513
```

Record 3
Here is Ho2ThNi6 after structural relaxation from Alexandria. Energies are from PBE. Values from VASP.

Computed properties:
**Calculated formation energy**: -0.41 eV per atom
**D(E_F)**: 11.48 states/eV/f.u.

Structure (Quantum ESPRESSO input):
```
&SYSTEM
  ibrav = 0, nat = 9, ntyp = 3
/
ATOMIC_SPECIES
Ho 164.93 Ho.upf
Th 232.04 Th.upf
Ni 58.69 Ni.upf
CELL_PARAMETERS angstrom
7.029 0.000 0.000
-3.514 6.087 0.000
0.000 0.000 3.666
ATOMIC_POSITIONS crystal
Ho 0.333 0.667 0.000
Ho 0.667 0.333 0.000
Th 0.000 0.000 0.000
Ni 0.000 0.334 0.500
Ni 0.000 0.666 0.500
Ni 0.334 0.000 0.500
Ni 0.334 0.334 0.500
Ni 0.666 0.000 0.500
Ni 0.666 0.666 0.500
```

Record 4
Here is Ho3ThNi after structural relaxation from Alexandria. Energies are from PBE. Values from VASP.

Computed properties:
**Calculated formation energy**: -0.01 eV per atom
**D(E_F)**: 6.86 states/eV/f.u.

Structure (Quantum ESPRESSO input):
```
&SYSTEM
  ibrav = 0, nat = 5, ntyp = 3
/
ATOMIC_SPECIES
Ho 164.93 Ho.upf
Th 232.04 Th.upf
Ni 58.69 Ni.upf
CELL_PARAMETERS angstrom
5.257 0.000 0.000
0.000 5.257 0.000
0.000 0.000 5.257
ATOMIC_POSITIONS crystal
Ho 0.000 0.000 0.500
Ho 0.000 0.500 0.000
Ho 0.500 0.000 0.000
Th 0.500 0.500 0.500
Ni 0.000 0.000 0.000
```

Record 5
Here is HoThNi after structural relaxation from Alexandria. Energies are from PBE. Values from VASP.

Computed properties:
**Calculated formation energy**: -0.18 eV per atom
**D(E_F)**: 3.60 states/eV/f.u.

Structure (Quantum ESPRESSO input):
```
&SYSTEM
  ibrav = 0, nat = 3, ntyp = 3
/
ATOMIC_SPECIES
Ho 164.93 Ho.upf
Th 232.04 Th.upf
Ni 58.69 Ni.upf
CELL_PARAMETERS angstrom
-1.745 1.745 5.975
1.745 -1.745 5.975
1.745 1.745 -5.975
ATOMIC_POSITIONS crystal
Ho 0.000 0.000 0.000
Th 0.722 0.722 0.000
Ni 0.353 0.353 0.000
```

Record 6
Here is Ho2Ti2Ni15 after structural relaxation from Alexandria. Energies are from PBE. Values from VASP.

Computed properties:
**Calculated formation energy**: -0.32 eV per atom
**D(E_F)**: 28.19 states/eV/f.u.

Structure (Quantum ESPRESSO input):
```
&SYSTEM
  ibrav = 0, nat = 19, ntyp = 3
/
ATOMIC_SPECIES
Ho 164.93 Ho.upf
Ti 47.87 Ti.upf
Ni 58.69 Ni.upf
CELL_PARAMETERS angstrom
4.155 2.399 4.119
-4.155 2.399 4.119
0.000 -4.798 4.119
ATOMIC_POSITIONS crystal
Ho 0.151 0.151 0.151
Ho 0.849 0.849 0.849
Ti 0.398 0.398 0.398
Ti 0.602 0.602 0.602
Ni 0.000 0.500 0.500
Ni 0.156 0.156 0.656
Ni 0.156 0.656 0.156
Ni 0.201 0.500 0.799
Ni 0.201 0.799 0.500
Ni 0.344 0.844 0.844
Ni 0.500 0.000 0.500
Ni 0.500 0.201 0.799
Ni 0.500 0.500 0.000
Ni 0.500 0.799 0.201
Ni 0.656 0.156 0.156
Ni 0.799 0.201 0.500
Ni 0.799 0.500 0.201
Ni 0.844 0.344 0.844
Ni 0.844 0.844 0.344
```

Record 7
Here is HoTiNi after structural relaxation from Alexandria. Energies are from PBE. Values from VASP.

Computed properties:
**Calculated formation energy**: -0.19 eV per atom
**D(E_F)**: 4.40 states/eV/f.u.

Structure (Quantum ESPRESSO input):
```
&SYSTEM
  ibrav = 0, nat = 6, ntyp = 3
/
ATOMIC_SPECIES
Ho 164.93 Ho.upf
Ti 47.87 Ti.upf
Ni 58.69 Ni.upf
CELL_PARAMETERS angstrom
3.746 0.000 0.000
0.000 3.746 0.000
0.000 0.000 8.184
ATOMIC_POSITIONS crystal
Ho 0.250 0.250 0.154
Ho 0.750 0.750 0.846
Ti 0.250 0.750 0.500
Ti 0.750 0.250 0.500
Ni 0.250 0.250 0.741
Ni 0.750 0.750 0.259
```

Record 8
Here is HoTiNi2 after structural relaxation from Alexandria. Energies are from PBE. Values from VASP.

Computed properties:
**Calculated formation energy**: -0.26 eV per atom
**D(E_F)**: 3.08 states/eV/f.u.

Structure (Quantum ESPRESSO input):
```
&SYSTEM
  ibrav = 0, nat = 4, ntyp = 3
/
ATOMIC_SPECIES
Ho 164.93 Ho.upf
Ti 47.87 Ti.upf
Ni 58.69 Ni.upf
CELL_PARAMETERS angstrom
0.000 3.190 3.190
3.190 0.000 3.190
3.190 3.190 0.000
ATOMIC_POSITIONS crystal
Ho 0.000 0.000 0.000
Ti 0.500 0.500 0.500
Ni 0.250 0.250 0.250
Ni 0.750 0.750 0.750
```

Record 9
Here is HoTiNi2 after structural relaxation from Alexandria. Energies are from PBE. Values from VASP.

Computed properties:
**Calculated formation energy**: -0.26 eV per atom
**D(E_F)**: 4.40 states/eV/f.u.

Structure (Quantum ESPRESSO input):
```
&SYSTEM
  ibrav = 0, nat = 4, ntyp = 3
/
ATOMIC_SPECIES
Ho 164.93 Ho.upf
Ti 47.87 Ti.upf
Ni 58.69 Ni.upf
CELL_PARAMETERS angstrom
4.507 0.000 0.000
0.000 4.507 0.000
0.000 0.000 3.182
ATOMIC_POSITIONS crystal
Ho 0.000 0.000 0.000
Ti 0.500 0.500 0.000
Ni 0.000 0.500 0.500
Ni 0.500 0.000 0.500
```

Record 10
Here is HoTiNi2 after structural relaxation from Alexandria. Energies are from PBE. Values from VASP.

Computed properties:
**Calculated formation energy**: -0.37 eV per atom
**D(E_F)**: 4.00 states/eV/f.u.

Structure (Quantum ESPRESSO input):
```
&SYSTEM
  ibrav = 0, nat = 4, ntyp = 3
/
ATOMIC_SPECIES
Ho 164.93 Ho.upf
Ti 47.87 Ti.upf
Ni 58.69 Ni.upf
CELL_PARAMETERS angstrom
3.114 0.000 0.000
0.000 3.114 0.000
0.000 0.000 6.670
ATOMIC_POSITIONS crystal
Ho 0.000 0.000 0.000
Ti 0.000 0.000 0.500
Ni 0.500 0.500 0.302
Ni 0.500 0.500 0.698
```

> What is the formula in the fifth record?

HoThNi